(1)
Below is a relaxed B3IrPb crystal, with properties calculated at the PBE level.

Unit cell a=4.2288 b=4.2288 c=4.2288 alpha=90.00 beta=90.00 gamma=90.00
Closest atoms and distances in Å follow each position.
Fractional coordinates of all 5 atoms:
Pb  0.5000  0.5000  0.5000  12 B 2.99
B  0.0000  0.5000  0.0000  2 Ir 2.11
B  0.0000  0.0000  0.5000  2 Ir 2.11
B  0.5000  0.0000  0.0000  2 Ir 2.11
Ir  0.0000  0.0000  0.0000  6 B 2.11

Calculated values
The relative energy among the computed polymorphs comes out at 0 meV per atom.

---

(2)
Below is a relaxed BIrPb2 crystal, with properties calculated at the PBE level.

Unit cell a=5.8817 b=5.8817 c=7.0978 alpha=65.52 beta=65.52 gamma=90.00
Closest atoms and distances in Å follow each position.
Fractional coordinates of all 8 atoms:
Pb  0.5798  0.1250  0.2500  2 B 2.38
Pb  0.1702  0.6250  0.2500  2 B 2.38
Pb  0.3750  0.4202  0.7500  2 B 2.38
Pb  0.8750  0.8298  0.7500  2 B 2.38
B  0.5000  0.5000  0.0000  4 Pb 2.38
B  0.2500  0.7500  0.5000  4 Pb 2.38
Ir  0.0000  0.0000  0.0000  4 Pb 2.69
Ir  0.7500  0.2500  0.5000  4 Pb 2.69

---

(3)
Below is a relaxed B2IrPb crystal, with properties calculated at the PBE level.

Unit cell a=4.7764 b=4.7764 c=7.2270 alpha=70.70 beta=70.70 gamma=90.00
Closest atoms and distances in Å follow each position.
Fractional coordinates of all 8 atoms:
Pb  0.0000  0.0000  0.0000  8 B 3.11, 4 Ir 3.38
Pb  0.7500  0.2500  0.5000  8 B 3.11, 4 Ir 3.38
B  0.3746  0.1250  0.2500  2 Ir 1.99
B  0.3754  0.6250  0.2500  2 Ir 1.99
B  0.3750  0.6254  0.7500  2 Ir 1.99
B  0.8750  0.6246  0.7500  2 Ir 1.99
Ir  0.5000  0.5000  0.0000  4 B 1.99
Ir  0.2500  0.7500  0.5000  4 B 1.99

---

(4)
Below is a relaxed B3IrPb crystal, with properties calculated at the PBE level.

Unit cell a=4.4488 b=4.4488 c=4.4488 alpha=90.00 beta=90.00 gamma=90.00
Closest atoms and distances in Å follow each position.
Fractional coordinates of all 5 atoms:
Pb  0.0000  0.0000  0.0000  6 B 2.22
B  0.0000  0.5000  0.0000  2 Pb 2.22
B  0.0000  0.0000  0.5000  2 Pb 2.22
B  0.5000  0.0000  0.0000  2 Pb 2.22
Ir  0.5000  0.5000  0.5000  12 B 3.15

Calculated values
The relative energy among the computed polymorphs comes out at 2064 meV per atom.

---

Number 1: uncorrected energy -5.57 eV/atom, M_tot 0.00 μB per formula unit. Number 2: uncorrected energy -4.69 eV/atom, M_tot 0.00 μB per formula unit. Number 3: uncorrected energy -6.07 eV/atom, M_tot 0.00 μB per formula unit. Number 4: uncorrected energy -3.50 eV/atom, M_tot 0.00 μB per formula unit.